The following is a PBE calculation of a geometry-optimized Ba2CaMg structure, from Alexandria via LeMat-Bulk.

ΔE_f: 0.106 eV/atom
Space-group type: R3m, No. 160

Cell lengths 4.1627, 4.1627, 13.0129 Å; angles 80.80, 80.80, 60.00 degrees
Last column: nearest neighbours and their distance in Å.
Atoms (fractional coordinates):
Ba: 0.0752 0.0752 0.7745  3 Mg 3.75, 6 Ba 4.16
Ba: 0.2580 0.2580 0.2259  3 Mg 3.76, 6 Ba 4.16
Ca: 0.5000 0.5000 0.5000  6 Ca 4.16, 6 Ba 4.25
Mg: 0.6668 0.6668 0.9997  6 Ba 3.75-3.76, 6 Mg 4.16